[1]
# GaAg2Hg

A relaxed structure of GaAg2Hg (PBE, Alexandria).

```
data_GaAg2Hg
_symmetry_space_group_name_H-M 'P 4/m m m'
_symmetry_Int_Tables_number 123
_symmetry_space_group_name_Hall '-P 4 2'
_cell_length_a 3.462
_cell_length_b 3.462
_cell_length_c 6.377
_cell_angle_alpha 90.00
_cell_angle_beta 90.00
_cell_angle_gamma 90.00
loop_
_atom_site_label
_atom_site_type_symbol
_atom_site_fract_x
_atom_site_fract_y
_atom_site_fract_z
_atom_site_occupancy
Ga1 Ga 0.000 0.000 0.000 1
Ag1 Ag 0.500 0.500 0.232 1
Hg1 Hg 0.000 0.000 0.500 1
```

Values from the calculation:
ΔE_f	0.068	eV/atom
crystal system	tetragonal


[2]
# Ga2AgHg2

A relaxed structure of Ga2AgHg2 (PBE, Alexandria).

```
data_Ga2AgHg2
_symmetry_space_group_name_H-M 'I 4/m m m'
_symmetry_Int_Tables_number 139
_symmetry_space_group_name_Hall '-I 4 2'
_cell_length_a 4.153
_cell_length_b 4.153
_cell_length_c 13.722
_cell_angle_alpha 90.00
_cell_angle_beta 90.00
_cell_angle_gamma 90.00
loop_
_atom_site_label
_atom_site_type_symbol
_atom_site_fract_x
_atom_site_fract_y
_atom_site_fract_z
_atom_site_occupancy
Ga1 Ga 0.000 0.000 0.092 1
Ag1 Ag 0.000 0.000 0.500 1
Hg1 Hg 0.000 0.500 0.250 1
```

Values from the calculation:
ΔE_f	0.245	eV/atom
ΔE to the lowest computed polymorph	0.156	eV per atom
crystal system	tetragonal


[3]
# Ga2Ag7Hg2

A relaxed structure of Ga2Ag7Hg2 (PBE, Alexandria).

```
data_Ga2Ag7Hg2
_symmetry_space_group_name_H-M 'C 1 2/m 1'
_symmetry_Int_Tables_number 12
_cell_length_a 9.572
_cell_length_b 9.718
_cell_length_c 4.972
_cell_angle_alpha 90.00
_cell_angle_beta 113.35
_cell_angle_gamma 90.00
loop_
_symmetry_equiv_pos_as_xyz
'x,y,z'
'-x,-y,-z'
'-x,y,-z'
'x,-y,z'
'x+1/2,y+1/2,z'
'-x+1/2,-y+1/2,-z'
'-x+1/2,y+1/2,-z'
'x+1/2,-y+1/2,z'
loop_
_atom_site_label
_atom_site_type_symbol
_atom_site_fract_x
_atom_site_fract_y
_atom_site_fract_z
_atom_site_occupancy
Ga1 Ga 0.000 0.238 0.000 1
Ag1 Ag 0.000 0.000 0.500 1
Ag2 Ag 0.168 0.246 0.682 1
Ag3 Ag 0.172 0.000 0.104 1
Hg1 Hg 0.117 0.500 0.301 1
```

Values from the calculation:
ΔE_f	0.064	eV/atom
crystal system	monoclinic


no.,DOS(E_F) (states/eV/cell)
1,0.89
2,3.89
3,4.42